This record from the Alexandria database describes a geometry-optimized Er3MgAg structure. The functional is GGA-PBE.

**Total magnetic moment**: 0.001 Bohr magnetons per cell
**Energy above the most stable polymorph in this dataset**: 0.0 meV/atom
**D(E_F)**: 1.186 states/eV/atom
**Raw total energy**: -74.75 eV/cell

The structure in CIF format:
```
data_Er3MgAg
_symmetry_space_group_name_H-M 'C m c m'
_symmetry_Int_Tables_number 63
_symmetry_space_group_name_Hall '-C 2c 2'
_cell_length_a 5.107
_cell_length_b 20.111
_cell_length_c 5.094
_cell_angle_alpha 90.00
_cell_angle_beta 90.00
_cell_angle_gamma 90.00
loop_
_atom_site_label
_atom_site_type_symbol
_atom_site_fract_x
_atom_site_fract_y
_atom_site_fract_z
_atom_site_occupancy
Er1 Er 0.000 0.057 0.250 1
Er2 Er 0.000 0.249 0.250 1
Er3 Er 0.000 0.438 0.250 1
Mg1 Mg 0.000 0.154 0.750 1
Ag1 Ag 0.000 0.338 0.750 1
```


This record from the Alexandria database describes a geometry-optimized ErMg2Ag structure. The functional is GGA-PBE.

**Total magnetic moment**: 0.000 Bohr magnetons per cell
**D(E_F)**: 0.880 states/eV/atom
**Raw total energy**: -11.12 eV/cell

The structure in CIF format:
```
data_ErMg2Ag
_symmetry_space_group_name_H-M 'P 4/m m m'
_symmetry_Int_Tables_number 123
_symmetry_space_group_name_Hall '-P 4 2'
_cell_length_a 3.400
_cell_length_b 3.400
_cell_length_c 7.878
_cell_angle_alpha 90.00
_cell_angle_beta 90.00
_cell_angle_gamma 90.00
loop_
_atom_site_label
_atom_site_type_symbol
_atom_site_fract_x
_atom_site_fract_y
_atom_site_fract_z
_atom_site_occupancy
Er1 Er 0.000 0.000 0.000 1
Mg1 Mg 0.500 0.500 0.295 1
Ag1 Ag 0.000 0.000 0.500 1
```


This record from the Alexandria database describes a geometry-optimized ErMgAg2 structure. The functional is GGA-PBE.

**Total magnetic moment**: 0.000 Bohr magnetons per cell
**D(E_F)**: 0.876 states/eV/atom
**Raw total energy**: -52.27 eV/cell

The structure in CIF format:
```
data_ErMgAg2
_symmetry_space_group_name_H-M 'F m -3 m'
_symmetry_Int_Tables_number 225
_symmetry_space_group_name_Hall '-F 4 2 3'
_cell_length_a 6.961
_cell_length_b 6.961
_cell_length_c 6.961
_cell_angle_alpha 90.00
_cell_angle_beta 90.00
_cell_angle_gamma 90.00
loop_
_atom_site_label
_atom_site_type_symbol
_atom_site_fract_x
_atom_site_fract_y
_atom_site_fract_z
_atom_site_occupancy
Er1 Er 0.000 0.000 0.000 1
Mg1 Mg 0.000 0.000 0.500 1
Ag1 Ag 0.250 0.250 0.250 1
```


This record from the Alexandria database describes a geometry-optimized ErMg11Ag structure. The functional is GGA-PBE.

**Total magnetic moment**: 0.000 Bohr magnetons per cell
**D(E_F)**: 0.539 states/eV/atom
**Raw total energy**: -51.13 eV/cell

The structure in CIF format:
```
data_ErMg11Ag
_symmetry_space_group_name_H-M 'C 1 2/m 1'
_symmetry_Int_Tables_number 12
_cell_length_a 5.771
_cell_length_b 14.358
_cell_length_c 7.684
_cell_angle_alpha 90.00
_cell_angle_beta 111.04
_cell_angle_gamma 90.00
loop_
_symmetry_equiv_pos_as_xyz
'x,y,z'
'-x,-y,-z'
'-x,y,-z'
'x,-y,z'
'x+1/2,y+1/2,z'
'-x+1/2,-y+1/2,-z'
'-x+1/2,y+1/2,-z'
'x+1/2,-y+1/2,z'
loop_
_atom_site_label
_atom_site_type_symbol
_atom_site_fract_x
_atom_site_fract_y
_atom_site_fract_z
_atom_site_occupancy
Er1 Er 0.000 0.000 0.000 1
Mg1 Mg 0.000 0.000 0.500 1
Mg2 Mg 0.099 0.396 0.213 1
Mg3 Mg 0.181 0.172 0.354 1
Mg4 Mg 0.250 0.250 0.000 1
Ag1 Ag 0.000 0.500 0.500 1
```


- The lowest raw total energy belongs to which entry?
  Er3MgAg


- Which of these has the highest total magnetic moment?
  Er3MgAg


- What is the D(E_F) in the second record?
  0.880 states/eV/atom


- What is the formula in the first record?
  Er3MgAg